Record 1
LaAsPtBr2 | GGA-PBEsol | optimized geometry

Cell and atoms, written as POSCAR:
```
LaAsPtBr2
1.0
-3.992 -1.033 2.726
-0.918 -3.941 -2.838
2.855 -2.888 3.087
As Br La Pt
1 2 1 1
Direct
0.000 0.000 0.500 As
0.000 0.500 0.000 Br
0.500 0.000 0.000 Br
0.500 0.500 0.500 La
0.000 0.000 0.000 Pt
```

V ... 124.7 Å³/f.u.
E_tot ... -4.75 eV per atom
Symmetry ... P4/mmm (123)

=====

Record 2
LaAsRuBr2 | GGA-PBEsol | optimized geometry

Cell and atoms, written as POSCAR:
```
LaAsRuBr2
1.0
-3.374 2.127 -2.746
-3.433 -1.464 3.085
0.581 4.531 2.796
Br Ru As La
2 1 1 1
Direct
0.500 0.000 0.000 Br
0.000 0.500 0.000 Br
0.000 0.000 0.000 Ru
0.500 0.500 0.500 As
0.000 0.000 0.500 La
```

V ... 125.6 Å³/f.u.
E_tot ... -4.96 eV per atom
Symmetry ... P4/mmm (123)